Entry 1:
Mg6AgHg2: optimized geometry, PBE-GGA.

Fermi-level density of states = 3.051 states/eV/f.u.
V = 21.1 Å³/atom
energy above the lowest structure with this stoichiometry = 0.0 meV/atom
VASP energy = -1.641 eV/atom
density = 5.72 g/cm³
E_form = -1.7 eV/f.u.

abc: 8.0837 8.0837 3.3570
angles: 90.00 90.00 120.00
Space group P-62m (No. 189)
Asymmetric unit:
Mg1 0.0000 0.3749 0.0000
Mg2 0.0000 0.7216 0.5000
Ag1 0.0000 0.0000 0.0000
Hg1 0.3333 0.6667 0.5000

Entry 2:
Mg2TaMo: optimized geometry, PBE-GGA.

Fermi-level density of states = 3.276 states/eV/f.u.
V = 18.0 Å³/atom
energy above the lowest structure with this stoichiometry = 465.7 meV/atom
VASP energy = -5.853 eV/atom
density = 7.51 g/cm³
E_form = 2.5 eV/f.u.

abc: 3.626 3.626 5.471
angles: 90.00 90.00 90.00
Space group P4/mmm (No. 123)
Asymmetric unit:
Mg1 0.000 0.000 0.242
Ta1 0.500 0.500 0.500
Mo1 0.500 0.500 0.000